The following is a PBE+U calculation of crystalline CoBiF5 at its relaxed geometry, from Alexandria.

Calculated values
Theoretical density   5.37 Mg/m³
Total magnetic moment   0.429 μB/atom
Final energy   -4.918 eV/atom

a b c (Å): 5.759 5.759 7.807
angles (deg): 70.34 70.34 72.67
Last column: magnetic moment on the atom in μB.
Fractional positions:
F 0.900 0.100 0.250  0.05
F 0.100 0.900 0.750  0.05
F 0.299 0.683 0.466  0.02
F 0.317 0.701 0.034  0.02
Co 0.000 0.000 0.000  2.79
F 0.683 0.299 0.966  0.02
Bi 0.554 0.446 0.250  0.02
F 0.701 0.317 0.534  0.02
F 0.743 0.785 0.622  0.03
Bi 0.446 0.554 0.750  0.02
Co 0.000 0.000 0.500  2.79
F 0.785 0.743 0.122  0.03
F 0.215 0.257 0.878  0.03
F 0.257 0.215 0.378  0.03